Entry from the Alexandria database: an optimized crystal structure of MnCrTcGe (PBE-GGA).

The structure in extended XYZ format:
```
4
Lattice="2.8552 0.0000 0.0000 0.0000 4.2294 0.0000 0.0000 0.0000 4.3653" Properties=species:S:1:pos:R:3 pbc="T T T"
Mn 0.0000 0.0000 2.6611
Ge 1.4276 0.0000 0.3636
Tc 1.4276 2.1147 1.8631
Cr 0.0000 2.1147 4.0060
```

Properties
For the density of states at the Fermi level, the calculation gives 3.7 states/eV/cell. Its mass density is 8.7 g/cm³. The calculation puts the formation energy at 0.054 eV/atom.